Here is a PBEsol-optimized structure of ScS2I from the Alexandria database. Energies are from SCAN.

The calculation puts the energy above the most stable polymorph in this dataset at 0 meV/atom. For the uncorrected formation energy, the calculation gives -121.2 kJ/mol of atoms.

The structure belongs to space group R-3m (No. 166, hexagonal axes); the cell edges are 3.8581, 3.8581 and 23.4393 Å and the angles 90.00°, 90.00° and 120.00°. The inequivalent atoms are Sc at (0.0000, 0.0000, 0.0000), S at (0.0000, 0.0000, 0.3892) and I at (0.0000, 0.0000, 0.5000).

Here is a PBEsol-optimized structure of K2SbPCO7 from the Alexandria database. Energies are from SCAN.

For the uncorrected formation energy, the calculation gives -194.7 kJ/mol of atoms.

The structure belongs to space group P2_1/m (No. 11); the cell edges are 6.165, 6.851 and 9.705 Å and the angles 90.00°, 93.76° and 90.00°. The inequivalent atoms are K at (0.225, 0.010, 0.274), Sb at (0.335, 0.250, 0.885), P at (0.267, 0.750, 0.905), C at (0.254, 0.250, 0.613), O at (0.023, 0.750, 0.877), O at (0.089, 0.250, 0.691), O at (0.243, 0.250, 0.485), O at (0.325, 0.750, 0.068), O at (0.383, 0.568, 0.846) and O at (0.447, 0.250, 0.687).

Here is a PBEsol-optimized structure of ZrFeTc from the Alexandria database. Energies are from SCAN.

The formation enthalpy at 0 K is 0.08 eV/atom.

The structure belongs to space group P3m1 (No. 156); the cell edges are 4.3799, 4.3799 and 2.7281 Å and the angles 90.00°, 90.00° and 120.00°. The inequivalent atoms are Zr at (0.0000, 0.0000, 0.0000), Fe at (0.6667, 0.3333, 0.3597) and Tc at (0.3333, 0.6667, 0.6617).

Here is a PBEsol-optimized structure of ZnCdRh3 from the Alexandria database. Energies are from SCAN.

The formation enthalpy at 0 K is 0.85 eV/atom.

The structure belongs to space group Pm-3m (No. 221); the cell edges are 4.465, 4.465 and 4.465 Å and the angles 90.00°, 90.00° and 90.00°. The inequivalent atoms are Zn at (0.000, 0.000, 0.000), Cd at (0.500, 0.500, 0.500) and Rh at (0.000, 0.000, 0.500).

Here is a PBEsol-optimized structure of SnAuS2N from the Alexandria database. Energies are from SCAN.

For the uncorrected formation energy, the calculation gives 77.4 kJ/mol of atoms.

The structure belongs to space group P4/mmm (No. 123); the cell edges are 5.014, 5.014 and 3.745 Å and the angles 90.00°, 90.00° and 90.00°. The inequivalent atoms are Sn at (0.000, 0.000, 0.000), Au at (0.500, 0.500, 0.500), S at (0.000, 0.500, 0.500) and N at (0.500, 0.500, 0.000).

Here is a PBEsol-optimized structure of CaMgSi2Hg from the Alexandria database. Energies are from SCAN.

For the uncorrected formation energy, the calculation gives 102.7 kJ/mol of atoms.

The structure belongs to space group P4/mmm (No. 123); the cell edges are 5.255, 5.255 and 5.421 Å and the angles 90.00°, 90.00° and 90.00°. The inequivalent atoms are Ca at (0.000, 0.000, 0.000), Mg at (0.500, 0.500, 0.500), Si at (0.000, 0.500, 0.000) and Hg at (0.000, 0.000, 0.500).

Here is a PBEsol-optimized structure of Li2ZnGeS4 from the Alexandria database. Energies are from SCAN.

For the uncorrected formation energy, the calculation gives -97.7 kJ/mol of atoms.

The structure belongs to space group Pmn2_1 (No. 31); the cell edges are 7.389, 6.820 and 6.218 Å and the angles 90.00°, 90.00° and 90.00°. The inequivalent atoms are Li at (0.247, 0.167, 0.000), Zn at (0.000, 0.353, 0.502), Ge at (0.000, 0.662, 0.999), S at (0.000, 0.359, 0.128), S at (0.000, 0.665, 0.642) and S at (0.244, 0.826, 0.113).

Here is a PBEsol-optimized structure of TaBeCu2 from the Alexandria database. Energies are from SCAN.

The formation enthalpy at 0 K is 0.08 eV/atom.

The structure belongs to space group Amm2 (No. 38); the cell edges are 3.764, 2.574 and 10.173 Å and the angles 90.00°, 90.00° and 90.00°. The inequivalent atoms are Ta at (0.000, 0.000, 0.000), Be at (0.500, 0.000, 0.627), Cu at (0.000, 0.000, 0.740) and Cu at (0.500, 0.000, 0.348).